1.
A relaxed Pr2TmScO6 crystal. Source: Alexandria, functional PBE-GGA.

Unit cell a=5.722 b=5.952 c=10.040 alpha=90.00 beta=124.45 gamma=90.00
Space group P2_1/c (No. 14)
Asymmetric unit:
Pr1 0.233 0.055 0.250 (multiplicity 4)
Tm1 0.500 0.000 0.000 (multiplicity 2)
Sc1 0.000 0.000 0.500 (multiplicity 2)
O1 0.127 0.204 0.935 (multiplicity 4)
O2 0.234 0.694 0.938 (multiplicity 4)
O3 0.363 0.049 0.744 (multiplicity 4)

## Properties
- Energy relative to the elements, uncorrected: -3.460 eV/atom
- Crystal system: monoclinic
- Raw total energy: -8.4715 eV/atom


2.
A relaxed NaBe2V2 crystal. Source: Alexandria, functional PBE-GGA.

Unit cell a=7.703 b=7.703 c=2.265 alpha=90.00 beta=90.00 gamma=90.00
Space group P4/mbm (No. 127)
Asymmetric unit:
Na1 0.000 0.000 0.000 (multiplicity 2)
Be1 0.174 0.326 0.000 (multiplicity 4)
V1 0.118 0.618 0.500 (multiplicity 4)

## Properties
- Crystal system: tetragonal
- Raw total energy: -4.9981 eV/atom
- DFT formation energy: 0.404 eV per atom